Entry 1:
Computed, not measured: a relaxed Tb2Pm3NdY6 crystal at the GGA-PBE level of DFT.

* N(E_F): 15.57 states/eV/f.u.
* volume: 788.3 Å³ per cell
* E: -5.58 eV/atom

Cell: 6.241 10.804 11.874 Å, 90.00 100.05 90.00°
Space group C2/m (No. 12)
One atom of each set of equivalent atoms:
Tb 0.000 0.167 0.000 x4
Pm 0.000 0.000 0.500 x2
Pm 0.000 0.333 0.500 x4
Nd 0.000 0.500 0.000 x2
Y 0.249 0.000 0.249 x4
Y 0.250 0.167 0.751 x8


Entry 2:
Computed, not measured: a relaxed Tb2PmNd2Y crystal at the GGA-PBE level of DFT.

* N(E_F): 9.54 states/eV/f.u.
* volume: 400.7 Å³ per cell
* E: -4.95 eV/atom

Cell: 7.096 5.711 9.887 Å, 90.00 90.00 90.00°
Space group Pmma (No. 51)
One atom of each set of equivalent atoms:
Tb 0.250 0.000 0.164 x2
Tb 0.250 0.500 0.669 x2
Pm 0.250 0.500 0.340 x2
Nd 0.000 0.500 0.000 x2
Nd 0.250 0.000 0.826 x2
Y 0.000 0.000 0.500 x2


Entry 3:
Computed, not measured: a relaxed Tb2PmNdY crystal at the GGA-PBE level of DFT.

* N(E_F): 8.56 states/eV/f.u.
* volume: 706.7 Å³ per cell
* E: -4.67 eV/atom

Cell: 8.423 11.655 7.198 Å, 90.00 90.00 90.00°
Space group Cmcm (No. 63)
One atom of each set of equivalent atoms:
Tb 0.188 0.000 0.000 x8
Pm 0.000 0.486 0.250 x4
Nd 0.000 0.222 0.250 x4
Y 0.000 0.231 0.750 x4


Entry 4:
Computed, not measured: a relaxed TbPmNd2Y5 crystal at the GGA-PBE level of DFT.

* N(E_F): 10.28 states/eV/f.u.
* volume: 1197.8 Å³ per cell
* E: -5.45 eV/atom

Cell: 8.753 8.753 15.635 Å, 90.00 90.00 90.00°
Space group I4/mcm (No. 140)
One atom of each set of equivalent atoms:
Tb 0.000 0.500 0.250 x4
Pm 0.000 0.000 0.250 x4
Nd 0.117 0.383 0.000 x8
Y 0.000 0.000 0.000 x4
Y 0.209 0.291 0.362 x16


Entry 5:
Computed, not measured: a relaxed Tb6Pm3Nd2Y crystal at the GGA-PBE level of DFT.

* N(E_F): 15.09 states/eV/f.u.
* volume: 794.7 Å³ per cell
* E: -4.82 eV/atom

Cell: 6.251 10.822 11.930 Å, 90.00 100.02 90.00°
Space group C2/m (No. 12)
One atom of each set of equivalent atoms:
Tb 0.249 0.000 0.250 x4
Tb 0.250 0.167 0.750 x8
Pm 0.000 0.167 0.000 x4
Pm 0.000 0.500 0.000 x2
Nd 0.000 0.333 0.500 x4
Y 0.000 0.000 0.500 x2


Entry 6:
Computed, not measured: a relaxed TbPm2NdY2 crystal at the GGA-PBE level of DFT.

* N(E_F): 10.83 states/eV/f.u.
* volume: 410.9 Å³ per cell
* E: -5.03 eV/atom

Cell: 6.669 18.054 3.413 Å, 90.00 90.00 90.00°
Space group Pnnm (No. 58)
One atom of each set of equivalent atoms:
Tb 0.000 0.000 0.000 x2
Pm 0.229 0.317 0.000 x4
Nd 0.000 0.500 0.000 x2
Y 0.225 0.149 0.500 x4